(1)
LiCeNd2S5 | PBE-GGA | relaxed

Values from the calculation:
ΔE_f (raw): -1868 meV per atom
Space group: No. 36
Total moment: 0.091 μB/atom

abc: 4.015 8.552 12.029
angles: 90.00 90.00 103.57
Site moments in Bohr magnetons follow the coordinates.
Fractional coordinates of all 18 atoms:
Li 0.513 0.026 0.981  0.00
Li 0.487 0.974 0.481  0.00
Ce 0.803 0.605 0.501  0.74
Ce 0.197 0.395 0.001  0.74
Nd 0.877 0.755 0.798  0.01
Nd 0.110 0.220 0.685  0.01
Nd 0.123 0.245 0.298  0.01
Nd 0.890 0.780 0.185  0.01
S 0.365 0.729 0.999  -0.01
S 0.692 0.383 0.839  -0.01
S 0.501 0.002 0.784  0.00
S 0.290 0.581 0.664  -0.01
S 0.955 0.910 0.572  -0.01
S 0.635 0.271 0.499  -0.01
S 0.308 0.617 0.339  -0.01
S 0.499 0.998 0.284  0.00
S 0.710 0.419 0.164  -0.01
S 0.045 0.090 0.072  -0.01



(2)
LiCeNd2S4 | PBE-GGA | relaxed

Values from the calculation:
ΔE_f (raw): -1906 meV per atom
Space group: No. 10
Total moment: 0.125 μB/atom

abc: 4.025 6.928 6.968
angles: 109.51 90.00 90.00
Site moments in Bohr magnetons follow the coordinates.
Fractional coordinates of all 8 atoms:
Li 0.000 0.000 0.000  0.00
Ce 0.500 0.500 0.000  0.75
Nd 0.500 0.000 0.500  0.02
Nd 0.000 0.500 0.500  0.06
S 0.500 0.243 0.241  -0.01
S 0.500 0.757 0.759  -0.01
S 0.000 0.246 0.758  -0.01
S 0.000 0.754 0.242  -0.01



(3)
Li2CeNd2Sb2 | PBE-GGA | relaxed

Values from the calculation:
ΔE_f (raw): -572 meV per atom
Space group: No. 166
Total moment: 0.181 μB/atom

abc: 4.797 4.797 9.668
angles: 75.64 75.64 60.00
Site moments in Bohr magnetons follow the coordinates.
Fractional coordinates of all 7 atoms:
Li 0.597 0.597 0.210  0.01
Li 0.403 0.403 0.790  0.01
Ce 0.000 0.000 0.000  0.93
Nd 0.128 0.128 0.615  0.03
Nd 0.872 0.872 0.385  0.03
Sb 0.734 0.734 0.798  -0.01
Sb 0.266 0.266 0.202  -0.01



- Look up the ΔE_f (raw) of the first one.
  -1868 meV per atom



- Which value of ΔE_f (raw) does entry 3 give?
  -572 meV per atom